Rb2InSn7 | PBE | relaxed

Formation energy from the elements = -133 meV/atom
Final energy = -3.40 eV/atom

Cell lengths 5.361, 5.361, 12.036 Å; angles 90.00, 90.00, 90.00 degrees
Space group P-4m2 (No. 115)
Symmetry-distinct sites (fractional):
1 Rb 0.000 0.500 0.249 (multiplicity 2)
2 In 0.500 0.500 0.000 (multiplicity 1)
3 Sn 0.000 0.000 0.000 (multiplicity 1)
4 Sn 0.000 0.000 0.500 (multiplicity 1)
5 Sn 0.000 0.500 0.623 (multiplicity 2)
6 Sn 0.000 0.500 0.878 (multiplicity 2)
7 Sn 0.500 0.500 0.500 (multiplicity 1)

RbInSn | PBE | relaxed

Formation energy from the elements = -151 meV/atom
Final energy = -2.72 eV/atom

Cell lengths 4.902, 7.495, 7.588 Å; angles 108.25, 104.95, 101.02 degrees
Space group P1 (No. 1)
Symmetry-distinct sites (fractional):
1 Rb 0.000 0.000 0.000 (multiplicity 1)
2 Rb 0.462 0.355 0.656 (multiplicity 1)
3 In 0.243 0.779 0.547 (multiplicity 1)
4 In 0.721 0.898 0.402 (multiplicity 1)
5 Sn 0.211 0.571 0.094 (multiplicity 1)
6 Sn 0.738 0.438 0.257 (multiplicity 1)

RbInSn | PBE | relaxed

Formation energy from the elements = -211 meV/atom
Final energy = -2.78 eV/atom

Cell lengths 12.403, 5.313, 8.515 Å; angles 90.00, 132.91, 90.00 degrees
Space group C2/m (No. 12)
Symmetry-distinct sites (fractional):
1 Rb 0.250 0.000 0.170 (multiplicity 4)
2 In 0.084 0.500 0.241 (multiplicity 4)
3 Sn 0.081 0.000 0.424 (multiplicity 4)

RbInSn4 | PBE | relaxed

Formation energy from the elements = -1 meV/atom
Distance to the lowest polymorph of the same formula = 0.41 eV per formula unit
Final energy = -3.29 eV/atom

Cell lengths 9.072, 9.072, 9.072 Å; angles 90.00, 90.00, 90.00 degrees
Space group F-43m (No. 216)
Symmetry-distinct sites (fractional):
1 Rb 0.000 0.000 0.000 (multiplicity 4)
2 In 0.250 0.250 0.750 (multiplicity 4)
3 Sn 0.125 0.125 0.375 (multiplicity 16)

RbInSn4 | PBE | relaxed

Formation energy from the elements = 11 meV/atom
Distance to the lowest polymorph of the same formula = 0.48 eV per formula unit
Final energy = -3.28 eV/atom

Cell lengths 13.182, 14.506, 4.434 Å; angles 90.00, 90.00, 90.00 degrees
Space group Cmmm (No. 65)
Symmetry-distinct sites (fractional):
1 Rb 0.000 0.195 0.000 (multiplicity 4)
2 In 0.171 0.500 0.000 (multiplicity 4)
3 Sn 0.000 0.402 0.500 (multiplicity 4)
4 Sn 0.117 0.000 0.500 (multiplicity 4)
5 Sn 0.228 0.352 0.500 (multiplicity 8)

RbInSn | PBE | relaxed

Formation energy from the elements = -82 meV/atom
Final energy = -2.65 eV/atom

Cell lengths 6.822, 4.565, 7.983 Å; angles 90.00, 112.32, 90.00 degrees
Space group Pm (No. 6)
Symmetry-distinct sites (fractional):
1 Rb 0.000 0.000 0.000 (multiplicity 1)
2 Rb 0.445 0.500 0.881 (multiplicity 1)
3 In 0.092 0.000 0.491 (multiplicity 1)
4 In 0.622 0.000 0.291 (multiplicity 1)
5 Sn 0.363 0.500 0.385 (multiplicity 1)
6 Sn 0.822 0.500 0.592 (multiplicity 1)

RbInSn | PBE | relaxed

Formation energy from the elements = 80 meV/atom
Final energy = -2.49 eV/atom

Cell lengths 8.666, 6.412, 7.994 Å; angles 90.00, 90.00, 90.00 degrees
Space group Aem2 (No. 39)
Symmetry-distinct sites (fractional):
1 Rb 0.000 0.000 0.000 (multiplicity 4)
2 In 0.378 0.250 0.355 (multiplicity 4)
3 Sn 0.313 0.250 0.729 (multiplicity 4)

Rb2In2Sn15 | PBE | relaxed

Formation energy from the elements = -9 meV/atom
Final energy = -3.56 eV/atom

Cell lengths 11.0956, 11.0956, 16.6746 Å; angles 90.00, 90.00, 120.00 degrees
Space group R-3m (No. 166, hexagonal axes)
Symmetry-distinct sites (fractional):
1 Rb 0.0000 0.0000 0.1581 (multiplicity 6)
2 In 0.0000 0.0000 0.4008 (multiplicity 6)
3 Sn 0.0000 0.2913 0.5000 (multiplicity 18)
4 Sn 0.0000 0.5000 0.0000 (multiplicity 9)
5 Sn 0.0004 0.5002 0.3509 (multiplicity 18)

RbIn3Sn3 | PBE | relaxed

Formation energy from the elements = -10 meV/atom
Distance to the lowest polymorph of the same formula = 0.08 eV per formula unit
Final energy = -3.04 eV/atom

Cell lengths 8.181, 8.181, 8.181 Å; angles 90.00, 90.00, 90.00 degrees
Space group Pm-3n (No. 223)
Symmetry-distinct sites (fractional):
1 Rb 0.000 0.000 0.000 (multiplicity 2)
2 In 0.000 0.250 0.500 (multiplicity 6)
3 Sn 0.000 0.500 0.250 (multiplicity 6)

RbInSn | PBE | relaxed

Formation energy from the elements = -216 meV/atom
Final energy = -2.79 eV/atom

Cell lengths 9.082, 5.279, 8.535 Å; angles 90.00, 90.00, 90.00 degrees
Space group Pnma (No. 62)
Symmetry-distinct sites (fractional):
1 Rb 0.001 0.250 0.170 (multiplicity 4)
2 In 0.163 0.750 0.410 (multiplicity 4)
3 Sn 0.171 0.250 0.596 (multiplicity 4)

Rb4In2Sn5 | PBE | relaxed

Formation energy from the elements = -129 meV/atom
Final energy = -2.80 eV/atom

Cell lengths 7.903, 6.161, 9.137 Å; angles 90.00, 93.87, 90.00 degrees
Space group P2/m (No. 10)
Symmetry-distinct sites (fractional):
1 Rb 0.239 0.000 0.134 (multiplicity 2)
2 Rb 0.240 0.000 0.636 (multiplicity 2)
3 In 0.468 0.500 0.337 (multiplicity 2)
4 Sn 0.100 0.500 0.376 (multiplicity 2)
5 Sn 0.121 0.500 0.888 (multiplicity 2)
6 Sn 0.500 0.500 0.000 (multiplicity 1)

Rb2SrInSn2 | PBE | relaxed

Formation energy from the elements = -276 meV/atom
Final energy = -2.67 eV/atom

Cell lengths 5.086, 10.591, 8.530 Å; angles 90.00, 90.00, 90.00 degrees
Space group Pmc2_1 (No. 26)
Symmetry-distinct sites (fractional):
1 Rb 0.000 0.086 0.000 (multiplicity 2)
2 Rb 0.500 0.160 0.320 (multiplicity 2)
3 Sr 0.500 0.460 0.987 (multiplicity 2)
4 In 0.000 0.336 0.634 (multiplicity 2)
5 Sn 0.000 0.399 0.269 (multiplicity 2)
6 Sn 0.500 0.202 0.733 (multiplicity 2)

RbSr2In2Sn2 | PBE | relaxed

Formation energy from the elements = -274 meV/atom
Final energy = -2.82 eV/atom

Cell lengths 5.4577, 5.4577, 31.7551 Å; angles 90.00, 90.00, 120.00 degrees
Space group R-3m (No. 166, hexagonal axes)
Symmetry-distinct sites (fractional):
1 Rb 0.0000 0.0000 0.0000 (multiplicity 3)
2 Sr 0.0000 0.0000 0.1335 (multiplicity 6)
3 In 0.0000 0.0000 0.4334 (multiplicity 6)
4 Sn 0.0000 0.0000 0.2471 (multiplicity 6)

RbInTcSn2 | PBE | relaxed

Formation energy from the elements = 14 meV/atom
Final energy = -4.40 eV/atom

Cell lengths 5.258, 5.258, 5.315 Å; angles 90.00, 90.00, 90.00 degrees
Space group P4/mmm (No. 123)
Symmetry-distinct sites (fractional):
1 Rb 0.000 0.000 0.000 (multiplicity 1)
2 In 0.500 0.500 0.000 (multiplicity 1)
3 Tc 0.500 0.500 0.500 (multiplicity 1)
4 Sn 0.000 0.500 0.500 (multiplicity 2)

Rb2InSnTe4 | PBE | relaxed

Formation energy from raw total energies = -0.576 eV/atom
Final energy = -3.23 eV/atom

Cell lengths 7.184, 15.736, 25.363 Å; angles 90.00, 90.00, 90.00 degrees
Space group Fddd (No. 70, origin choice 2)
Symmetry-distinct sites (fractional):
1 Rb 0.125 0.125 0.310 (multiplicity 16)
2 In 0.125 0.125 0.125 (multiplicity 8)
3 Sn 0.125 0.125 0.625 (multiplicity 8)
4 Te 0.113 0.270 0.436 (multiplicity 32)

RbInSn2Te4 | PBE | relaxed

Formation energy from raw total energies = -0.416 eV/atom
Final energy = -3.45 eV/atom

Cell lengths 4.578, 16.275, 16.160 Å; angles 90.00, 90.00, 90.00 degrees
Space group Cmcm (No. 63)
Symmetry-distinct sites (fractional):
1 Rb 0.000 0.121 0.250 (multiplicity 4)
2 In 0.000 0.166 0.750 (multiplicity 4)
3 Sn 0.000 0.377 0.053 (multiplicity 8)
4 Te 0.000 0.000 0.000 (multiplicity 4)
5 Te 0.000 0.258 0.606 (multiplicity 8)
6 Te 0.000 0.441 0.250 (multiplicity 4)

Rb2TlIn6Sn | PBE | relaxed

Formation energy from the elements = 32 meV/atom
Final energy = -2.44 eV/atom

Cell lengths 7.7702, 7.7702, 43.0954 Å; angles 90.00, 90.00, 120.00 degrees
Space group R-3m (No. 166, hexagonal axes)
Symmetry-distinct sites (fractional):
1 Rb 0.0000 0.0000 0.1031 (multiplicity 6)
2 Rb 0.0000 0.0000 0.2775 (multiplicity 6)
3 Tl 0.0000 0.0000 0.4244 (multiplicity 6)
4 In 0.0680 0.5340 0.8629 (multiplicity 18)
5 In 0.0689 0.5344 0.3062 (multiplicity 18)
6 Sn 0.0000 0.0000 0.0000 (multiplicity 3)
7 Sn 0.0000 0.0000 0.5000 (multiplicity 3)

RbTl2In2Sn | PBE | relaxed

Formation energy from the elements = -8 meV/atom
Final energy = -2.54 eV/atom

Cell lengths 8.776, 10.204, 4.597 Å; angles 90.00, 90.00, 90.00 degrees
Space group Pnnm (No. 58)
Symmetry-distinct sites (fractional):
1 Rb 0.000 0.000 0.000 (multiplicity 2)
2 Tl 0.196 0.336 0.000 (multiplicity 4)
3 In 0.178 0.646 0.000 (multiplicity 4)
4 Sn 0.000 0.500 0.500 (multiplicity 2)

RbTl2InSn2 | PBE | relaxed

Formation energy from the elements = -41 meV/atom
Final energy = -2.78 eV/atom

Cell lengths 5.2597, 5.2597, 8.5876 Å; angles 90.00, 90.00, 120.00 degrees
Space group P-3m1 (No. 164)
Symmetry-distinct sites (fractional):
1 Rb 0.0000 0.0000 0.0000 (multiplicity 1)
2 Tl 0.3333 0.6667 0.7501 (multiplicity 2)
3 In 0.0000 0.0000 0.5000 (multiplicity 1)
4 Sn 0.3333 0.6667 0.3708 (multiplicity 2)

RbTlInSn | PBE | relaxed

Formation energy from the elements = 0 meV/atom
Final energy = -2.52 eV/atom

Cell lengths 8.062, 8.062, 8.062 Å; angles 90.00, 90.00, 90.00 degrees
Space group F-43m (No. 216)
Symmetry-distinct sites (fractional):
1 Rb 0.000 0.000 0.000 (multiplicity 4)
2 Tl 0.250 0.250 0.750 (multiplicity 4)
3 In 0.250 0.250 0.250 (multiplicity 4)
4 Sn 0.000 0.000 0.500 (multiplicity 4)

Rb2Tl3In4Sn | PBE | relaxed

Formation energy from the elements = -92 meV/atom
Final energy = -2.49 eV/atom

Cell lengths 5.140, 5.140, 12.912 Å; angles 90.00, 90.00, 90.00 degrees
Space group P-4m2 (No. 115)
Symmetry-distinct sites (fractional):
1 Rb 0.000 0.500 0.248 (multiplicity 2)
2 Tl 0.000 0.000 0.000 (multiplicity 1)
3 Tl 0.000 0.500 0.636 (multiplicity 2)
4 In 0.000 0.000 0.500 (multiplicity 1)
5 In 0.000 0.500 0.868 (multiplicity 2)
6 In 0.500 0.500 0.500 (multiplicity 1)
7 Sn 0.500 0.500 0.000 (multiplicity 1)

RbV2InSn | PBE | relaxed

Formation energy from the elements = 2111 meV/atom
Final energy = -3.08 eV/atom

Cell lengths 5.301, 5.301, 6.011 Å; angles 90.00, 90.00, 90.00 degrees
Space group P4/mmm (No. 123)
Symmetry-distinct sites (fractional):
1 Rb 0.000 0.000 0.000 (multiplicity 1)
2 V 0.000 0.500 0.000 (multiplicity 2)
3 In 0.500 0.500 0.500 (multiplicity 1)
4 Sn 0.000 0.000 0.500 (multiplicity 1)